The following is a DFT calculation (PBE-GGA) of NaSrHoTe3 after structural relaxation.

Values from the calculation:
Offset from the most stable computed form = 0.0747 eV per atom
Magnetization = 0.0 μB per cell
Crystal system = orthorhombic
Total DFT energy (no corrections) = -4.139 eV/atom

a b c (Å): 14.9690 4.5325 11.5877
angles (deg): 90.00 90.00 90.00
Last column: nearest neighbours and their distance in Å.
Space group Pnma (No. 62)
Asymmetric unit:
1 Na 0.0028 0.2500 0.0903 (multiplicity 4)  4 Te 2.94-3.10, 2 Na 3.09
2 Sr 0.2346 0.7500 0.0409 (multiplicity 4)  7 Te 3.34-3.69
3 Ho 0.0169 0.7500 0.3329 (multiplicity 4)  6 Te 3.05-3.16
4 Te 0.1034 0.7500 0.5712 (multiplicity 4)  3 Ho 3.05-3.10, 2 Sr 3.34
5 Te 0.1222 0.2500 0.8723 (multiplicity 4)  3 Na 2.97-3.10, 1 Ho 3.16
6 Te 0.1491 0.2500 0.2598 (multiplicity 4)  1 Na 2.94, 2 Ho 3.13


The following is a DFT calculation (PBE-GGA) of CuAgSnPd after structural relaxation.

Values from the calculation:
Offset from the most stable computed form = 0.0000 eV per atom
Crystal system = cubic
Total DFT energy (no corrections) = -4.095 eV/atom

a b c (Å): 6.4533 6.4533 6.4533
angles (deg): 90.00 90.00 90.00
Last column: nearest neighbours and their distance in Å.
Space group F-43m (No. 216)
Asymmetric unit:
1 Cu 0.0000 0.0000 0.0000 (multiplicity 4)  4 Ag 2.79, 4 Sn 2.79
2 Ag 0.2500 0.2500 0.2500 (multiplicity 4)  4 Cu 2.79, 4 Pd 2.79
3 Sn 0.2500 0.2500 0.7500 (multiplicity 4)  4 Cu 2.79, 4 Pd 2.79
4 Pd 0.0000 0.0000 0.5000 (multiplicity 4)  4 Sn 2.79, 4 Ag 2.79


The following is a DFT calculation (PBE-GGA) of Ba2FeS3 after structural relaxation.

Values from the calculation:
Offset from the most stable computed form = 0.0000 eV per atom
Magnetization = 16.0 μB per cell
Crystal system = orthorhombic
Total DFT energy (no corrections) = -5.571 eV/atom

a b c (Å): 12.1746 4.2516 12.4652
angles (deg): 90.00 90.00 90.00
Last column: nearest neighbours and their distance in Å.
Space group Pnma (No. 62)
Asymmetric unit:
1 Ba 0.0108 0.2500 0.1745 (multiplicity 4)  7 S 3.16-3.23
2 Ba 0.1743 0.2500 0.5249 (multiplicity 4)  7 S 3.22-3.29, 2 Fe 3.57
3 Fe 0.2435 0.7500 0.3050 (multiplicity 4)  4 S 2.29-2.42
4 S 0.0628 0.7500 0.3603 (multiplicity 4)  1 Fe 2.31
5 S 0.1363 0.2500 0.9462 (multiplicity 4)  1 Fe 2.29
6 S 0.2275 0.7500 0.7163 (multiplicity 4)  2 Fe 2.42


The following is a DFT calculation (PBE-GGA) of LiHfNO after structural relaxation.

Values from the calculation:
Offset from the most stable computed form = 0.0330 eV per atom
Magnetization = 0.0 μB per cell
Crystal system = orthorhombic
Total DFT energy (no corrections) = -8.419 eV/atom

a b c (Å): 4.3239 3.6730 5.9441
angles (deg): 90.00 90.00 90.00
Last column: nearest neighbours and their distance in Å.
Space group Pmma (No. 51)
Asymmetric unit:
1 Li 0.2500 0.0000 0.1659 (multiplicity 2)  3 O 1.98-2.16, 2 N 2.11
2 Hf 0.2500 0.5000 0.6843 (multiplicity 2)  2 O 2.04, 3 N 2.05-2.17
3 N 0.2500 0.5000 0.3399 (multiplicity 2)  3 Hf 2.05-2.17, 2 Li 2.11
4 O 0.2500 0.0000 0.8328 (multiplicity 2)  3 Li 1.98-2.16, 2 Hf 2.04


The following is a DFT calculation (PBE-GGA) of NdSmTeO2 after structural relaxation.

Values from the calculation:
Offset from the most stable computed form = 0.0787 eV per atom
Magnetization = 0.0 μB per cell
Crystal system = trigonal
Total DFT energy (no corrections) = -7.325 eV/atom

a b c (Å): 4.0172 4.0172 7.3731
angles (deg): 90.00 90.00 120.00
Last column: nearest neighbours and their distance in Å.
Space group P3m1 (No. 156)
Asymmetric unit:
1 Nd 0.0000 0.0000 0.0000 (multiplicity 1)  4 O 2.37-2.39
2 Sm 0.6667 0.3333 0.3959 (multiplicity 1)  4 O 2.33-2.38
3 Te 0.3333 0.6667 0.6954 (multiplicity 1)  3 Sm 3.20, 3 Nd 3.23
4 O 0.0000 0.0000 0.3215 (multiplicity 1)  1 Nd 2.37, 3 Sm 2.38
5 O 0.6667 0.3333 0.0800 (multiplicity 1)  1 Sm 2.33, 3 Nd 2.39


The following is a DFT calculation (PBE-GGA) of KNiPSe5 after structural relaxation.

Values from the calculation:
Magnetization = 0.0 μB per cell
Crystal system = monoclinic
Total DFT energy (no corrections) = -4.053 eV/atom

a b c (Å): 18.3785 7.4672 6.7379
angles (deg): 90.00 97.93 90.00
Last column: nearest neighbours and their distance in Å.
Space group C2/m (No. 12)
Asymmetric unit:
1 K 0.2297 0.0000 0.2265 (multiplicity 4)  7 Se 3.37-3.77
2 Ni 0.0000 0.2565 0.0000 (multiplicity 4)  6 Se 2.37-2.51
3 P 0.1360 0.5000 0.2175 (multiplicity 4)  4 Se 2.17-2.28
4 Se 0.0498 0.0000 0.8611 (multiplicity 4)  2 Ni 2.37
5 Se 0.0801 0.5000 0.8933 (multiplicity 4)  1 P 2.28, 2 Ni 2.51
6 Se 0.0816 0.2512 0.3120 (multiplicity 8)  1 P 2.24, 1 Ni 2.41
7 Se 0.2446 0.0000 0.7343 (multiplicity 4)  1 P 2.17


The following is a DFT calculation (PBE-GGA) of TbDyGa2Br2 after structural relaxation.

Values from the calculation:
Magnetization = 0.0 μB per cell
Crystal system = trigonal
Total DFT energy (no corrections) = -4.326 eV/atom

a b c (Å): 4.1288 4.1288 11.2612
angles (deg): 90.00 90.00 120.00
Last column: nearest neighbours and their distance in Å.
Space group P3m1 (No. 156)
Asymmetric unit:
1 Tb 0.0000 0.0000 0.0000 (multiplicity 1)  3 Ga 2.94, 3 Br 2.97
2 Dy 0.0000 0.0000 0.6355 (multiplicity 1)  3 Ga 2.93, 3 Br 2.96
3 Ga 0.3333 0.6667 0.8478 (multiplicity 1)  3 Ga 2.48
4 Ga 0.6667 0.3333 0.7864 (multiplicity 1)  3 Ga 2.48
5 Br 0.3333 0.6667 0.4798 (multiplicity 1)  3 Dy 2.96
6 Br 0.6667 0.3333 0.1570 (multiplicity 1)  3 Tb 2.97


The following is a DFT calculation (PBE-GGA) of NaSiHg after structural relaxation.

Values from the calculation:
Offset from the most stable computed form = 0.3776 eV per atom
Crystal system = cubic
Total DFT energy (no corrections) = -1.769 eV/atom

a b c (Å): 6.6353 6.6353 6.6353
angles (deg): 90.00 90.00 90.00
Last column: nearest neighbours and their distance in Å.
Space group F-43m (No. 216)
Asymmetric unit:
1 Na 0.0000 0.0000 0.0000 (multiplicity 4)  4 Hg 2.87, 4 Si 2.87
2 Si 0.2500 0.2500 0.2500 (multiplicity 4)  4 Na 2.87
3 Hg 0.2500 0.2500 0.7500 (multiplicity 4)  4 Na 2.87


The following is a DFT calculation (PBE-GGA) of LiHgPd after structural relaxation.

Values from the calculation:
Offset from the most stable computed form = 0.0000 eV per atom
Crystal system = cubic
Total DFT energy (no corrections) = -2.669 eV/atom

a b c (Å): 6.2926 6.2926 6.2926
angles (deg): 90.00 90.00 90.00
Last column: nearest neighbours and their distance in Å.
Space group F-43m (No. 216)
Asymmetric unit:
1 Li 0.0000 0.0000 0.0000 (multiplicity 4)  4 Pd 2.72
2 Hg 0.0000 0.0000 0.5000 (multiplicity 4)  4 Pd 2.72
3 Pd 0.2500 0.2500 0.7500 (multiplicity 4)  4 Hg 2.72, 4 Li 2.72


The following is a DFT calculation (PBE-GGA) of Li4ZnCdPt2 after structural relaxation.

Values from the calculation:
Magnetization = 0.0 μB per cell
Crystal system = tetragonal
Total DFT energy (no corrections) = -3.246 eV/atom

a b c (Å): 4.3421 4.3421 6.2897
angles (deg): 90.00 90.00 90.00
Last column: nearest neighbours and their distance in Å.
Space group P-4m2 (No. 115)
Asymmetric unit:
1 Li 0.0000 0.0000 0.0000 (multiplicity 1)  4 Li 2.75, 4 Pt 2.77, 4 Cd 3.07
2 Li 0.0000 0.5000 0.7308 (multiplicity 2)  4 Li 2.61-2.75, 2 Zn 2.61, 2 Cd 2.75, 1 Pt 2.88
3 Li 0.5000 0.5000 0.5000 (multiplicity 1)  4 Pt 2.60, 4 Li 2.61
4 Zn 0.0000 0.0000 0.5000 (multiplicity 1)  4 Pt 2.60, 4 Li 2.61
5 Cd 0.5000 0.5000 0.0000 (multiplicity 1)  8 Li 2.75-3.07, 4 Pt 2.77
6 Pt 0.0000 0.5000 0.2734 (multiplicity 2)  5 Li 2.60-2.88, 2 Zn 2.60, 2 Cd 2.77


The following is a DFT calculation (PBE-GGA) of YZr2As after structural relaxation.

Values from the calculation:
Magnetization = 5.6 μB per cell
Crystal system = cubic
Total DFT energy (no corrections) = -7.179 eV/atom

a b c (Å): 7.0689 7.0689 7.0689
angles (deg): 90.00 90.00 90.00
Last column: nearest neighbours and their distance in Å.
Space group F-43m (No. 216)
Asymmetric unit:
1 Y 0.0000 0.0000 0.0000 (multiplicity 4)  4 Zr 3.06, 4 As 3.06
2 Zr 0.0000 0.0000 0.5000 (multiplicity 4)  4 Zr 3.06, 4 As 3.06
3 Zr 0.2500 0.2500 0.2500 (multiplicity 4)  4 Zr 3.06, 4 Y 3.06
4 As 0.2500 0.2500 0.7500 (multiplicity 4)  4 Zr 3.06, 4 Y 3.06


The following is a DFT calculation (PBE-GGA) of K3TbP2 after structural relaxation.

Values from the calculation:
Offset from the most stable computed form = 0.4359 eV per atom
Magnetization = 0.0 μB per cell
Crystal system = monoclinic
Total DFT energy (no corrections) = -3.342 eV/atom

a b c (Å): 10.7696 10.9253 8.3617
angles (deg): 90.00 97.42 90.00
Last column: nearest neighbours and their distance in Å.
Space group C2/c (No. 15)
Asymmetric unit:
1 K 0.0000 0.1938 0.2500 (multiplicity 4)  4 P 3.31-3.54
2 K 0.2110 0.4701 0.9790 (multiplicity 8)  2 P 3.26-3.29
3 Tb 0.0000 0.2090 0.7500 (multiplicity 4)  2 P 2.58
4 P 0.1857 0.2456 0.5897 (multiplicity 8)  1 P 2.17